A plane-wave DFT calculation with GGA-PBE was carried out for MnRuW2 after structural relaxation.

Cell and atoms, written as POSCAR:
```
MnRuW2
1.0
5.5412 0.0000 0.0000
0.0000 7.5384 0.0000
0.0000 0.0000 2.8009
Mn Ru W
2 2 4
Direct
0.0000 0.0000 0.0000
0.5000 0.5000 0.0000
0.0000 0.5000 0.0000
0.5000 0.0000 0.0000
0.2500 0.2500 0.5000
0.2500 0.7500 0.5000
0.7500 0.2500 0.5000
0.7500 0.7500 0.5000
```

## Properties
symmetry = Cmmm, No. 65
energy of formation from the pure elements = 0.66 eV per formula unit
crystal system = orthorhombic
energy relative to the lowest polymorph listed for this composition = 73 meV per atom
total magnetic moment = 3.7 Bohr magnetons per cell